VASP calculation (PBE) on an optimized crystal structure of Tm7Sc12Tl.

Results
N(E_F) (states/eV/f.u.): 42.78
Total moment (μB/f.u.): 3.94
DFT total energy (eV per atom): -5.31
Formation enthalpy at 0 K (eV/atom): 0.1758

a b c (Å): 8.176 8.176 8.176
angles (deg): 90.74 90.74 90.74
Site moments in Bohr magnetons follow the coordinates.
Fractional positions:
Sc (0.379, 0.852, 0.506)  0.09
Sc (0.258, 0.128, 0.726)  0.16
Sc (0.726, 0.258, 0.128)  0.16
Sc (0.621, 0.148, 0.494)  0.09
Sc (0.148, 0.494, 0.621)  0.09
Sc (0.494, 0.621, 0.148)  0.09
Sc (0.506, 0.379, 0.852)  0.09
Sc (0.872, 0.274, 0.742)  0.16
Sc (0.852, 0.506, 0.379)  0.09
Sc (0.274, 0.742, 0.872)  0.16
Sc (0.128, 0.726, 0.258)  0.16
Sc (0.742, 0.872, 0.274)  0.16
Tm (0.960, 0.847, 0.621)  0.17
Tm (0.847, 0.621, 0.960)  0.17
Tm (0.153, 0.379, 0.040)  0.17
Tm (0.500, 0.500, 0.500)  0.03
Tm (0.621, 0.960, 0.847)  0.17
Tm (0.040, 0.153, 0.379)  0.17
Tm (0.379, 0.040, 0.153)  0.17
Tl (0.000, 0.000, 0.000)  0.01